A geometry-optimized KMnHgBr5 structure. Source: the Alexandria database, functional PBE.

Summary:
Energy relative to the elements, uncorrected   -20.32 kcal/mol of atoms

a = 7.948 Å, b = 7.948 Å, c = 9.892 Å
α = 102.79°, β = 102.79°, γ = 106.93°
Fractional coordinates of all 16 atoms:
K  0.352  0.648  0.250
K  0.648  0.352  0.750
Mn  0.683  0.317  0.250
Mn  0.317  0.683  0.750
Hg  0.000  0.000  0.500
Hg  0.000  0.000  0.000
Br  0.086  0.914  0.250
Br  0.914  0.086  0.750
Br  0.916  0.331  0.115
Br  0.084  0.669  0.885
Br  0.669  0.084  0.385
Br  0.331  0.916  0.615
Br  0.743  0.610  0.442
Br  0.257  0.390  0.558
Br  0.390  0.257  0.058
Br  0.610  0.743  0.942